! GGA-PBE Y2Ni4Sn3, optimized geometry; values from VASP
&SYSTEM
  ibrav = 0, nat = 18, ntyp = 3
/
ATOMIC_SPECIES
Y 88.91 Y.upf
Ni 58.69 Ni.upf
Sn 118.71 Sn.upf
ATOMIC_POSITIONS crystal
Y 0.102 0.898 0.912
Y 0.398 0.602 0.412
Y 0.602 0.398 0.588
Y 0.898 0.102 0.088
Ni 0.163 0.837 0.509
Ni 0.177 0.323 0.750
Ni 0.323 0.177 0.250
Ni 0.337 0.663 0.009
Ni 0.663 0.337 0.991
Ni 0.677 0.823 0.750
Ni 0.823 0.677 0.250
Ni 0.837 0.163 0.491
Sn 0.000 0.000 0.500
Sn 0.012 0.488 0.750
Sn 0.488 0.012 0.250
Sn 0.500 0.500 0.000
Sn 0.512 0.988 0.750
Sn 0.988 0.512 0.250
CELL_PARAMETERS angstrom
2.975 -7.990 0.000
2.975 7.990 0.000
0.000 0.000 6.985
! Space-group type: Cmce, No. 64
! DFT total energy (eV per cell): -104.4
! Formation enthalpy at 0 K (eV/atom): -0.46